## A
This record from Alexandria describes an optimized crystal structure of ThScSe2. The functional is PBE.

POSCAR file:
```
ThScSe2
1.0
3.777 0.000 0.000
1.888 3.271 0.000
1.888 1.090 7.623
Th Sc Se
1 1 2
Cartesian
5.665 3.271 7.595 Th
3.777 2.181 3.854 Sc
1.888 1.090 2.101 Se
1.888 1.090 5.509 Se
```

Summary:
* density of states at the Fermi level: 3.822 states/eV/cell
* space group: R3m

***

## B
This record from Alexandria describes an optimized crystal structure of ThScSe2. The functional is PBE.

POSCAR file:
```
ThScSe2
1.0
3.900 0.000 0.000
1.950 3.378 0.000
1.950 1.126 7.081
Se Th Sc
2 1 1
Cartesian
1.950 1.126 1.544 Se
5.851 3.378 5.537 Se
3.900 2.252 3.541 Th
0.000 0.000 0.000 Sc
```

Summary:
* density of states at the Fermi level: 3.200 states/eV/cell
* space group: R-3m

***

## C
This record from Alexandria describes an optimized crystal structure of ThScSe2. The functional is PBE.

POSCAR file:
```
ThScSe2
1.0
-4.023 -0.325 -0.703
0.101 -3.903 1.229
-2.137 3.311 10.691
Sc Se Th
2 4 2
Cartesian
-4.886 1.165 10.681 Sc
-1.193 -3.151 3.486 Sc
-4.377 0.370 8.135 Se
-3.254 -1.364 2.517 Se
-2.825 -0.624 11.650 Se
-1.702 -2.369 6.035 Se
-3.814 -0.502 5.320 Th
-2.265 -1.496 8.850 Th
```

Summary:
* density of states at the Fermi level: 4.661 states/eV/cell
* space group: Pmn2_1

***

Quick one: least stable of them? A

***

## A
This record from Alexandria describes an optimized crystal structure of ThSc2Se. The functional is PBE.

POSCAR file:
```
ThSc2Se
1.0
3.577 0.000 0.000
1.788 3.098 0.000
1.788 1.033 9.043
Th Sc Se
1 2 1
Cartesian
3.577 2.065 4.522 Th
1.788 1.033 7.315 Sc
1.788 1.033 1.728 Sc
5.365 3.098 9.043 Se
```

Summary:
* density of states at the Fermi level: 3.969 states/eV/cell
* space group: R3m

***

## B
This record from Alexandria describes an optimized crystal structure of ThSc2Se. The functional is PBE.

POSCAR file:
```
ThSc2Se
1.0
-1.262 3.000 1.269
-2.242 0.188 -2.672
-5.268 -3.968 4.140
Sc Th Se
2 1 1
Cartesian
-4.181 -3.149 3.286 Sc
-1.087 -0.819 0.854 Sc
-4.386 -0.390 1.369 Th
-1.752 1.594 -0.702 Se
```

Summary:
* density of states at the Fermi level: 3.810 states/eV/cell
* space group: P4/mmm

***

## C
This record from Alexandria describes an optimized crystal structure of ThSc2Se. The functional is PBE.

POSCAR file:
```
ThSc2Se
1.0
3.577 0.000 0.000
1.789 3.098 0.000
1.789 1.033 8.948
Se Sc Th
1 2 1
Cartesian
0.000 0.000 0.000 Se
1.789 1.033 1.770 Sc
5.366 3.098 7.178 Sc
3.577 2.065 4.474 Th
```

Summary:
* density of states at the Fermi level: 3.880 states/eV/cell
* space group: R-3m

***

Quick one: least stable of them? B

***

## A
This record from Alexandria describes an optimized crystal structure of Th2ScSe5. The functional is PBE.

POSCAR file:
```
Th2ScSe5
1.0
-0.019 -0.085 -5.746
-4.938 -4.320 2.954
-8.985 10.187 -0.122
Sc Th Se
2 4 10
Cartesian
-9.685 5.007 -2.917 Sc
-4.256 0.775 0.002 Sc
-3.953 -2.413 -2.825 Th
-7.347 1.435 -2.871 Th
-6.594 4.347 -0.043 Th
-9.988 8.195 -0.089 Th
-6.950 4.444 -2.917 Se
-10.059 2.386 -2.876 Se
-1.608 0.818 -0.007 Se
-4.039 -2.009 0.043 Se
-4.535 0.494 -2.866 Se
-9.406 5.288 -0.048 Se
-12.333 4.964 -2.907 Se
-3.882 3.396 -0.038 Se
-6.991 1.338 0.003 Se
-9.902 7.791 -2.957 Se
```

Summary:
* density of states at the Fermi level: 4.827 states/eV/cell
* space group: Cmcm

***

## B
This record from Alexandria describes an optimized crystal structure of Th2ScSe5. The functional is PBE.

POSCAR file:
```
Th2ScSe5
1.0
-5.644 5.669 2.036
-3.322 -0.711 -7.229
-7.291 -8.772 4.214
Se Th Sc
20 8 4
Cartesian
-7.770 -6.247 1.979 Se
-8.380 -0.125 -0.548 Se
-3.652 2.656 -0.789 Se
-9.538 -4.045 -4.043 Se
-12.605 -6.470 -0.189 Se
-9.714 -2.358 2.491 Se
-6.543 -1.456 -3.469 Se
-8.488 2.433 -2.958 Se
-4.477 -4.564 0.300 Se
-11.376 -2.714 -1.123 Se
-3.299 -0.240 -2.874 Se
-11.298 -3.218 5.509 Se
-4.959 -0.596 -6.487 Se
-6.827 2.790 0.657 Se
-6.719 0.231 3.065 Se
-4.881 -1.100 0.145 Se
-9.431 -6.604 -1.635 Se
-7.877 -3.690 -0.430 Se
-12.958 -3.574 1.896 Se
-11.780 0.749 -1.279 Se
-7.572 0.653 -5.410 Th
-10.346 -4.823 0.817 Th
-12.154 -0.768 1.249 Th
-5.911 1.009 -1.796 Th
-2.442 -2.690 1.387 Th
-4.103 -3.046 -2.227 Th
-8.685 -4.467 4.431 Th
-13.815 -1.124 -2.365 Th
-8.135 5.134 -3.386 Sc
-7.297 -1.730 1.318 Sc
-8.122 -8.949 2.408 Sc
-8.960 -2.084 -2.296 Sc
```

Summary:
* density of states at the Fermi level: 8.373 states/eV/cell
* space group: Pbam

***

Quick one: least stable of them? A

***

## A
This record from Alexandria describes an optimized crystal structure of ScTiSe2. The functional is PBE.

POSCAR file:
```
ScTiSe2
1.0
2.056 0.000 8.427
-1.028 1.780 8.427
-1.028 -1.780 8.427
Se Sc Ti
2 1 1
Cartesian
0.000 0.000 22.629 Se
0.000 0.000 2.652 Se
0.000 0.000 0.000 Sc
0.000 0.000 12.641 Ti
```

Summary:
* density of states at the Fermi level: 3.979 states/eV/cell
* space group: R-3m

***

## B
This record from Alexandria describes an optimized crystal structure of ScTiSe2. The functional is PBE.

POSCAR file:
```
ScTiSe2
1.0
-2.876 1.754 -2.695
-1.062 -2.035 -3.653
-6.008 -3.117 0.943
Ti Sc Se
1 1 2
Cartesian
-2.313 -1.418 -3.090 Ti
-6.450 -1.222 -2.006 Sc
-4.237 -2.653 -1.845 Se
-2.360 0.654 -1.683 Se
```

Summary:
* density of states at the Fermi level: 3.788 states/eV/cell
* space group: Cm

***

Quick one: least stable of them? A

***

## A
This record from Alexandria describes an optimized crystal structure of ScTiSe2. The functional is PBE.

POSCAR file:
```
ScTiSe2
1.0
4.196 -0.655 1.940
0.547 0.513 4.608
0.771 -3.738 2.690
Sc Ti Se
1 1 2
Cartesian
0.000 0.000 0.000 Sc
2.757 -1.940 4.619 Ti
1.378 -0.970 2.309 Se
4.135 -2.909 6.928 Se
```

Summary:
* density of states at the Fermi level: 3.151 states/eV/cell
* space group: Fm-3m

***

## B
This record from Alexandria describes an optimized crystal structure of ScTiSe2. The functional is PBE.

POSCAR file:
```
ScTiSe2
1.0
-1.500 0.130 -3.331
-0.538 -3.086 -1.884
-6.759 -1.583 0.977
Se Ti Sc
2 1 1
Cartesian
-5.325 -1.442 0.337 Se
-2.128 -1.128 -1.091 Se
-8.078 -3.550 -2.517 Ti
-4.425 -2.272 -2.107 Sc
```

Summary:
* density of states at the Fermi level: 3.322 states/eV/cell
* space group: R3m

***

Quick one: least stable of them? A